[1]
Compound: BiPd2Pb
Source: the Alexandria database
Functional: PBE
Structure: optimized geometry

The structure belongs to space group Cmc2_1 (No. 36); the cell edges are 8.838, 7.294 and 10.753 Å and the angles 90.00°, 90.00° and 90.00°. Symmetry generates all atoms from Bi at (0.225, 0.122, 0.000), Pd at (0.000, 0.172, 0.449), Pd at (0.000, 0.416, 0.944), Pd at (0.246, 0.124, 0.277), Pb at (0.000, 0.133, 0.721) and Pb at (0.000, 0.380, 0.213).

For the energy of formation, the calculation gives -289 meV per atom. Its raw total energy is -4.78 eV/atom. The total moment is 0.000 Bohr magnetons per cell.


[2]
Compound: MgMo2Se
Source: the Alexandria database
Functional: PBE
Structure: optimized geometry

The structure belongs to space group P4/mmm (No. 123); the cell edges are 4.440, 4.440 and 3.247 Å and the angles 90.00°, 90.00° and 90.00°. Symmetry generates all atoms from Mg at (0.000, 0.000, 0.000), Mo at (0.000, 0.500, 0.500) and Se at (0.500, 0.500, 0.000).

The value obtained for the energy above the most stable polymorph in this dataset is 2.04 eV per formula unit. Its raw total energy is -6.15 eV/atom. The total moment is 0.001 Bohr magnetons per cell.


[3]
Compound: CaTmCuSn
Source: the Alexandria database
Functional: PBE
Structure: optimized geometry

The structure belongs to space group F-43m (No. 216); the cell edges are 7.291, 7.291 and 7.291 Å and the angles 90.00°, 90.00° and 90.00°. Symmetry generates all atoms from Ca at (0.000, 0.000, 0.000), Tm at (0.000, 0.000, 0.500), Cu at (0.250, 0.250, 0.250) and Sn at (0.250, 0.250, 0.750).

For the energy of formation, the calculation gives -406 meV per atom. Its raw total energy is -4.05 eV/atom. The total moment is 0.000 Bohr magnetons per cell.


[4]
Compound: BaThPa4N8
Source: the Alexandria database
Functional: PBE
Structure: optimized geometry

The structure belongs to space group R3m (No. 160, hexagonal axes); the cell edges are 7.1235, 7.1235 and 17.6651 Å and the angles 90.00°, 90.00° and 120.00°. Symmetry generates all atoms from Ba at (0.0000, 0.0000, 0.0000), Th at (0.0000, 0.0000, 0.6253), Pa at (0.0000, 0.0000, 0.2479), Pa at (0.1694, 0.3388, 0.4569), N at (0.0000, 0.0000, 0.3829), N at (0.0000, 0.0000, 0.8478), N at (0.0642, 0.5321, 0.3890) and N at (0.1744, 0.3489, 0.2012).

Its raw total energy is -9.59 eV/atom. The total moment is 6.180 Bohr magnetons per cell.


[5]
Compound: PrSm6Ho5
Source: the Alexandria database
Functional: PBE
Structure: optimized geometry

The structure belongs to space group Immm (No. 71); the cell edges are 5.083, 10.141 and 15.239 Å and the angles 90.00°, 90.00° and 90.00°. Symmetry generates all atoms from Pr at (0.000, 0.000, 0.000), Sm at (0.000, 0.247, 0.500), Sm at (0.000, 0.252, 0.167), Ho at (0.000, 0.000, 0.333), Ho at (0.000, 0.500, 0.000) and Ho at (0.000, 0.500, 0.332).

For the energy of formation, the calculation gives 19 meV per atom. Its raw total energy is -4.65 eV/atom. The total moment is 0.000 Bohr magnetons per cell.


[6]
Compound: Nd5TlS8
Source: the Alexandria database
Functional: PBE
Structure: optimized geometry

The structure belongs to space group I-4 (No. 82); the cell edges are 8.728, 8.728 and 8.611 Å and the angles 90.00°, 90.00° and 90.00°. Symmetry generates all atoms from Nd at (0.000, 0.000, 0.000), Nd at (0.135, 0.247, 0.621), Tl at (0.000, 0.500, 0.250), S at (0.074, 0.316, 0.937) and S at (0.080, 0.161, 0.302).

Its raw total energy is -6.09 eV/atom. The total moment is 0.000 Bohr magnetons per cell.


[7]
Compound: La8TlRh3I4
Source: the Alexandria database
Functional: PBE
Structure: optimized geometry

The structure belongs to space group C2/m (No. 12); the cell edges are 15.131, 8.726 and 9.623 Å and the angles 90.00°, 121.62° and 90.00°. Symmetry generates all atoms from La at (0.026, 0.230, 0.310), La at (0.232, 0.000, 0.694), La at (0.243, 0.500, 0.690), Tl at (0.000, 0.500, 0.500), Rh at (0.000, 0.000, 0.500), Rh at (0.250, 0.250, 0.500), I at (0.000, 0.000, 0.000), I at (0.000, 0.500, 0.000) and I at (0.250, 0.250, 0.000).

Its raw total energy is -5.29 eV/atom. The total moment is 0.000 Bohr magnetons per cell.


[8]
Compound: Hf3ZrTi
Source: the Alexandria database
Functional: PBE
Structure: optimized geometry

The structure belongs to space group Cmce (No. 64); the cell edges are 11.104, 11.421 and 6.918 Å and the angles 90.00°, 90.00° and 90.00°. Symmetry generates all atoms from Hf at (0.000, 0.086, 0.151), Hf at (0.139, 0.233, 0.876), Zr at (0.250, 0.008, 0.250) and Ti at (0.000, 0.102, 0.592).

The value obtained for the energy above the most stable polymorph in this dataset is 0.06 eV per formula unit. For the energy of formation, the calculation gives 149 meV per atom. Its raw total energy is -9.11 eV/atom. The total moment is 0.000 Bohr magnetons per cell.


Look up the total moment of the third one.
0.000 Bohr magnetons per cell


Look up the total moment of the fifth one.
0.000 Bohr magnetons per cell